VASP calculation (GGA-PBE) on a relaxed structure of BaPdS.

Results
- E_form (uncorrected): -3.41 eV per formula unit
- Final energy: -29.3 eV per cell
- DOS(E_F): 0.00 states/eV/atom

Cell lengths 4.571, 6.005, 6.688 Å; angles 89.96, 80.07, 68.12 degrees
Fractional positions:
Ba1 0.000 0.000 0.000
Ba2 0.404 0.417 0.574
Pd1 0.542 0.752 0.234
Pd2 0.690 0.854 0.620
S1 0.145 0.995 0.509
S2 0.761 0.564 0.906


VASP calculation (GGA-PBE) on a relaxed structure of CePa2MnN4.

Results
- E_form (uncorrected): -10.78 eV per formula unit
- Final energy: -156.3 eV per cell
- DOS(E_F): 0.65 states/eV/atom

Cell lengths 6.044, 6.044, 11.501 Å; angles 90.00, 90.00, 147.57 degrees
Fractional positions:
Ce1 0.102 0.898 0.750
Ce2 0.898 0.102 0.250
Pa1 0.367 0.633 0.557
Pa2 0.367 0.633 0.943
Pa3 0.633 0.367 0.057
Pa4 0.633 0.367 0.443
Mn1 0.158 0.842 0.250
Mn2 0.842 0.158 0.750
N1 0.000 0.000 0.000
N2 0.000 0.000 0.500
N3 0.273 0.727 0.123
N4 0.273 0.727 0.377
N5 0.444 0.556 0.750
N6 0.556 0.444 0.250
N7 0.727 0.273 0.623
N8 0.727 0.273 0.877